A plane-wave DFT calculation with GGA+U was carried out for crystalline GaMoNF2 at its relaxed geometry.

Properties
- Energy above the lowest structure with this stoichiometry: 215 meV per atom
- Crystal system: tetragonal
- Symmetry: P4/mmm
- Total DFT energy (no corrections): -5.181 eV/atom

```
GaMoNF2
1.0
3.941 0.000 0.000
0.000 3.941 0.000
0.000 0.000 3.986
Ga Mo N F
1 1 1 2
direct
0.000 0.000 0.000 Ga
0.500 0.500 0.500 Mo
0.000 0.000 0.500 N
0.000 0.500 0.000 F
0.500 0.000 0.000 F
```